The following is a DFT calculation (PBE) of a geometry-optimized Er8C4N structure.

Values from the calculation:
spin magnetization: 0.000 μB per formula unit
crystal system: cubic
DOS at the Fermi energy: 0.35 states/eV/atom
SG: No. 216
uncorrected formation energy: -0.478 eV per atom

a b c (Å): 7.1913 7.1913 7.1913
angles (deg): 60.00 60.00 60.00
Sites, in units of the cell vectors:
Er 0.1357 0.1357 0.1357
Er 0.6189 0.1434 0.6189
Er 0.6189 0.6189 0.1434
Er 0.1357 0.5930 0.1357
Er 0.5930 0.1357 0.1357
Er 0.1434 0.6189 0.6189
Er 0.6189 0.6189 0.6189
Er 0.1357 0.1357 0.5930
C 0.3730 0.8809 0.3730
C 0.3730 0.3730 0.8809
C 0.8809 0.3730 0.3730
C 0.3730 0.3730 0.3730
N 0.7500 0.7500 0.7500